1.
This record from Alexandria via LeMat-Bulk describes crystalline YEr2AlN at its relaxed geometry. The functional is GGA-PBE.

a = 4.781 Å, b = 4.721 Å, c = 4.721 Å
α = 90.00°, β = 90.00°, γ = 90.00°
Element x y z (fractional)
Y  0.500  0.000  0.000
Er  0.000  0.000  0.500
Er  0.000  0.500  0.000
Al  0.500  0.500  0.500
N  0.000  0.000  0.000

Properties
SG ... P4/mmm, No. 123
Uncorrected formation energy ... -0.939 eV per atom



2.
This record from Alexandria via LeMat-Bulk describes crystalline Ag2PtAu at its relaxed geometry. The functional is GGA-PBE.

a = 4.611 Å, b = 4.611 Å, c = 4.611 Å
α = 60.00°, β = 60.00°, γ = 60.00°
Element x y z (fractional)
Au  0.500  0.500  0.500
Ag  0.000  0.000  0.000
Ag  0.250  0.250  0.250
Pt  0.750  0.750  0.750

Properties
SG ... F-43m, No. 216
Energy of formation from the pure elements ... 0.04 eV/atom
Distance to the lowest polymorph of the same formula ... 60 meV/atom



3.
This record from Alexandria via LeMat-Bulk describes crystalline Zr3FeSi at its relaxed geometry. The functional is GGA-PBE.

a = 4.747 Å, b = 4.747 Å, c = 4.747 Å
α = 90.00°, β = 90.00°, γ = 90.00°
Element x y z (fractional)
Si  0.500  0.500  0.500
Fe  0.000  0.000  0.000
Zr  0.000  0.500  0.000
Zr  0.000  0.000  0.500
Zr  0.500  0.000  0.000

Properties
SG ... Pm-3m, No. 221
Uncorrected formation energy ... 0.191 eV per atom
Distance to the lowest polymorph of the same formula ... 0 meV/atom



4.
This record from Alexandria via LeMat-Bulk describes crystalline Li2BeB2Ir5 at its relaxed geometry. The functional is GGA-PBE.

a = 2.836 Å, b = 9.155 Å, c = 9.155 Å
α = 90.00°, β = 90.00°, γ = 90.00°
Element x y z (fractional)
Li  0.000  0.674  0.174
Li  0.000  0.326  0.826
Li  0.000  0.174  0.326
Li  0.000  0.826  0.674
Be  0.000  0.000  0.000
Be  0.000  0.500  0.500
B  0.000  0.131  0.631
B  0.000  0.869  0.369
B  0.000  0.631  0.869
B  0.000  0.369  0.131
Ir  0.500  0.202  0.070
Ir  0.500  0.798  0.930
Ir  0.500  0.070  0.798
Ir  0.500  0.702  0.430
Ir  0.500  0.930  0.202
Ir  0.500  0.298  0.570
Ir  0.500  0.570  0.702
Ir  0.500  0.430  0.298
Ir  0.500  0.500  0.000
Ir  0.500  0.000  0.500

Properties
SG ... P4/mbm, No. 127
Energy of formation from the pure elements ... -0.37 eV/atom



5.
This record from Alexandria via LeMat-Bulk describes crystalline SiAs2Os at its relaxed geometry. The functional is GGA-PBE.

a = 6.318 Å, b = 6.318 Å, c = 6.318 Å
α = 152.98°, β = 142.17°, γ = 47.10°
Element x y z (fractional)
As  0.022  0.022  0.000
As  0.694  0.194  0.500
Os  0.476  0.476  0.000
Si  0.308  0.808  0.500

Properties
SG ... Imm2, No. 44
Uncorrected formation energy ... 0.397 eV per atom



6.
This record from Alexandria via LeMat-Bulk describes crystalline ZrReSb3 at its relaxed geometry. The functional is GGA-PBE.

a = 5.183 Å, b = 5.183 Å, c = 5.183 Å
α = 90.00°, β = 90.00°, γ = 90.00°
Element x y z (fractional)
Re  0.000  0.000  0.000
Zr  0.500  0.500  0.500
Sb  0.000  0.500  0.000
Sb  0.000  0.000  0.500
Sb  0.500  0.000  0.000

Properties
SG ... Pm-3m, No. 221
Uncorrected formation energy ... 0.897 eV per atom
Distance to the lowest polymorph of the same formula ... 0 meV/atom



7.
This record from Alexandria via LeMat-Bulk describes crystalline HfGa2HgCl at its relaxed geometry. The functional is GGA-PBE.

a = 5.048 Å, b = 5.651 Å, c = 5.048 Å
α = 90.00°, β = 90.00°, γ = 90.00°
Element x y z (fractional)
Hf  0.000  0.500  0.000
Hg  0.000  0.000  0.000
Ga  0.000  0.000  0.500
Ga  0.500  0.000  0.000
Cl  0.500  0.500  0.500

Properties
SG ... P4/mmm, No. 123
Uncorrected formation energy ... 0.656 eV per atom



So what do the calculations give for size of the total moment? Going down the list: 0.000, 0.000, 0.000, 0.000, 0.000, 2.229, 1.631 μB per formula unit.